(1)
Hf8Sb2Os: relaxed, GGA-PBE.

Calculated values
DOS at the Fermi energy: 8.9 states/eV/f.u.
ρ: 13.09 g/cm3
Uncorrected formation energy: -241 meV/atom
V: 21.473 Å³ per atom

Cell: 4.4666 7.1707 8.2135 Å, 110.26 105.78 90.00°
Element x y z (fractional)
Hf1 0.1685 0.2415 0.3371
Hf2 0.9674 0.1972 0.9347
Hf3 0.5816 0.4310 0.1633
Hf4 0.3340 0.0781 0.6679
Hf5 0.6660 0.9219 0.3321
Hf6 0.4184 0.5690 0.8367
Hf7 0.0326 0.8028 0.0653
Hf8 0.8315 0.7585 0.6629
Sb1 0.8061 0.3313 0.6123
Sb2 0.1939 0.6687 0.3877
Os1 0.5000 0.0000 0.0000

---

(2)
MgSnF: relaxed, GGA-PBE.

Calculated values
DOS at the Fermi energy: 1.2 states/eV/f.u.
ρ: 3.96 g/cm3
E above lowest polymorph: 0.038 eV/atom
Uncorrected formation energy: -1629 meV/atom
V: 22.667 Å³ per atom

Cell: 6.2215 3.1217 14.2670 Å, 90.00 100.99 90.00°
Element x y z (fractional)
Mg1 0.5558 0.0000 0.6598
Mg2 0.4442 0.5000 0.8402
Mg3 0.5558 0.5000 0.1598
Mg4 0.4442 0.0000 0.3402
F1 0.3379 0.5000 0.2559
F2 0.6621 0.0000 0.2441
F3 0.6621 0.5000 0.7441
F4 0.3379 0.0000 0.7559
Sn1 0.7594 0.5000 0.5020
Sn2 0.2406 0.5000 0.4980
Sn3 0.7594 0.0000 0.0020
Sn4 0.2406 0.0000 0.9980

---

(3)
La2ZnCdAu6: relaxed, GGA-PBE.

Calculated values
DOS at the Fermi energy: 4.6 states/eV/f.u.
ρ: 11.84 g/cm3
ΔE_f: -489.1 meV/atom
V: 22.973 Å³ per atom

Cell: 8.0009 7.2031 7.6961 Å, 71.99 39.97 94.98°
Element x y z (fractional)
Au1 0.9828 0.9367 0.3588
Au2 0.7259 0.2398 0.0542
Au3 0.0172 0.0633 0.6412
Au4 0.2378 0.4101 0.8550
Au5 0.2741 0.7602 0.9458
Au6 0.7622 0.5899 0.1450
Zn1 0.0000 0.0000 0.0000
La1 0.2974 0.7459 0.4083
La2 0.7026 0.2541 0.5917
Cd1 0.5000 0.5000 0.0000

---

(4)
LiZn3Ir: relaxed, GGA-PBE.

Calculated values
DOS at the Fermi energy: 1.4 states/eV/f.u.
ρ: 5.85 g/cm3
E above lowest polymorph: 0.282 eV/atom
ΔE_f: 23.7 meV/atom
V: 22.449 Å³ per atom

Cell: 4.8238 4.8238 4.8238 Å, 90.00 90.00 90.00°
Element x y z (fractional)
Zn1 0.0000 0.0000 0.5000
Zn2 0.0000 0.5000 0.0000
Zn3 0.5000 0.0000 0.0000
Ir1 0.0000 0.0000 0.0000
Li1 0.5000 0.5000 0.5000

---

(5)
NdY6Mg: relaxed, GGA-PBE.

Calculated values
DOS at the Fermi energy: 12.6 states/eV/f.u.
ρ: 4.59 g/cm3
E above lowest polymorph: 0.000 eV/atom
ΔE_f: 26.4 meV/atom
V: 31.724 Å³ per atom

Cell: 5.3773 6.4845 8.8192 Å, 66.99 72.25 65.50°
Element x y z (fractional)
Y1 0.2236 0.4388 0.1139
Y2 0.5105 0.2038 0.7752
Y3 0.7764 0.5612 0.8861
Y4 0.4895 0.7962 0.2248
Y5 0.2490 0.8565 0.6455
Y6 0.7510 0.1435 0.3545
Mg1 0.0000 0.0000 0.0000
Nd1 0.0000 0.5000 0.5000

---

(6)
RhC2: relaxed, GGA-PBE.

Calculated values
DOS at the Fermi energy: 1.1 states/eV/f.u.
ρ: 6.45 g/cm3
E above lowest polymorph: 0.151 eV/atom
ΔE_f: 612.7 meV/atom
V: 10.899 Å³ per atom

Cell: 8.8216 8.8216 8.8216 Å, 162.85 161.15 25.59°
Element x y z (fractional)
C1 0.1010 0.8510 0.2500
C2 0.8990 0.1490 0.7500
C3 0.0202 0.7702 0.2500
C4 0.9798 0.2298 0.7500
Rh1 0.8176 0.5676 0.2500
Rh2 0.1824 0.4324 0.7500

---

(7)
Ac4La3Se8: relaxed, GGA-PBE.

Calculated values
DOS at the Fermi energy: 8.5 states/eV/f.u.
ρ: 6.77 g/cm3
Uncorrected formation energy: -1937 meV/atom
V: 31.997 Å³ per atom

Cell: 8.8200 8.7843 8.7843 Å, 90.06 120.07 120.07°
Element x y z (fractional)
Ac1 0.0000 0.0000 0.5000
Ac2 0.0000 0.0000 0.0000
Ac3 0.0000 0.5000 0.0000
Ac4 0.5000 0.0000 0.0000
Se1 0.0000 0.2526 0.7474
Se2 0.5050 0.2558 0.2558
Se3 0.0000 0.7474 0.2526
Se4 0.0067 0.2562 0.2562
Se5 0.5000 0.7467 0.2533
Se6 0.9933 0.7438 0.7438
Se7 0.4950 0.7442 0.7442
Se8 0.5000 0.2533 0.7467
La1 0.5000 0.0000 0.5000
La2 0.5000 0.5000 0.0000
La3 0.5000 0.5000 0.5000

---

(8)
MgCo2Ge2: relaxed, GGA-PBE.

Calculated values
DOS at the Fermi energy: 2.4 states/eV/f.u.
ρ: 6.98 g/cm3
ΔE_f: -133.3 meV/atom
V: 13.667 Å³ per atom

Cell: 6.9266 6.9266 2.8487 Å, 90.00 90.00 90.00°
Site moments in Bohr magnetons follow the coordinates.
Element x y z (fractional)
Mg1 0.5000 0.5000 0.0000  0.00
Mg2 0.0000 0.0000 0.0000  0.00
Co1 0.6384 0.1384 0.0000  0.20
Co2 0.3616 0.8616 0.0000  0.20
Co3 0.8616 0.6384 0.0000  0.22
Co4 0.1384 0.3616 0.0000  0.22
Ge1 0.6566 0.8434 0.5000  0.00
Ge2 0.3434 0.1566 0.5000  0.00
Ge3 0.1566 0.6566 0.5000  -0.01
Ge4 0.8434 0.3434 0.5000  -0.01

---

(9)
Re5W: relaxed, GGA-PBE.

Calculated values
DOS at the Fermi energy: 3.0 states/eV/f.u.
ρ: 19.57 g/cm3
E above lowest polymorph: 0.198 eV/atom
ΔE_f: 281.9 meV/atom
V: 15.764 Å³ per atom

Cell: 5.1142 5.1142 5.1142 Å, 60.00 60.00 60.00°
Element x y z (fractional)
Re1 0.7500 0.7500 0.7500
Re2 0.3749 0.8753 0.3749
Re3 0.3749 0.3749 0.8753
Re4 0.3749 0.3749 0.3749
Re5 0.8753 0.3749 0.3749
W1 0.0000 0.0000 0.0000

---

(10)
CaCuP2S: relaxed, GGA-PBE.

Calculated values
DOS at the Fermi energy: 4.1 states/eV/f.u.
ρ: 3.31 g/cm3
E above lowest polymorph: 0.000 eV/atom
Uncorrected formation energy: -42 meV/atom
V: 19.839 Å³ per atom

Cell: 4.4804 4.4804 4.9416 Å, 90.00 90.00 90.00°
Element x y z (fractional)
P1 0.0000 0.5000 0.0000
P2 0.5000 0.0000 0.0000
S1 0.0000 0.0000 0.5000
Cu1 0.0000 0.0000 0.0000
Ca1 0.5000 0.5000 0.5000

---

(11)
HOs2RuW: relaxed, GGA-PBE.

Calculated values
DOS at the Fermi energy: 2.5 states/eV/f.u.
ρ: 18.23 g/cm3
E above lowest polymorph: 0.069 eV/atom
V: 12.141 Å³ per atom

Cell: 3.9009 3.9009 3.9893 Å, 90.00 90.00 90.00°
Element x y z (fractional)
H1 0.0000 0.0000 0.0000
W1 0.0000 0.0000 0.5000
Os1 0.5000 0.0000 0.0000
Os2 0.0000 0.5000 0.0000
Ru1 0.5000 0.5000 0.5000

---

(12)
Mg3ZnGa3Ru2: relaxed, GGA-PBE.

Calculated values
DOS at the Fermi energy: 5.6 states/eV/f.u.
ρ: 6.31 g/cm3
ΔE_f: -109.5 meV/atom
V: 16.068 Å³ per atom

Cell: 3.0685 7.3769 7.3769 Å, 120.00 90.00 90.00°
Element x y z (fractional)
Ru1 0.5000 0.6667 0.3333
Ru2 0.5000 0.3333 0.6667
Ga1 0.0000 0.0000 0.3900
Ga2 0.0000 0.6100 0.6100
Ga3 0.0000 0.3900 0.0000
Mg1 0.5000 0.0000 0.7131
Mg2 0.5000 0.7131 0.0000
Mg3 0.5000 0.2869 0.2869
Zn1 0.0000 0.0000 0.0000

---

(13)
YEr2ScTl4: relaxed, GGA-PBE.

Calculated values
DOS at the Fermi energy: 6.8 states/eV/f.u.
ρ: 10.20 g/cm3
ΔE_f: -305.7 meV/atom
V: 26.177 Å³ per atom

Cell: 5.2831 5.2831 9.1850 Å, 73.29 73.29 60.00°
Element x y z (fractional)
Tl1 0.1266 0.1266 0.6201
Tl2 0.3769 0.3769 0.8693
Tl3 0.8734 0.8734 0.3799
Tl4 0.6231 0.6231 0.1307
Er1 0.7512 0.7512 0.7463
Er2 0.2488 0.2488 0.2537
Sc1 0.5000 0.5000 0.5000
Y1 0.0000 0.0000 0.0000

---

(14)
Li2VRe: relaxed, GGA-PBE.

Calculated values
DOS at the Fermi energy: 2.2 states/eV/f.u.
ρ: 7.98 g/cm3
E above lowest polymorph: 0.000 eV/atom
ΔE_f: 783.8 meV/atom
V: 13.064 Å³ per atom

Cell: 4.1965 4.1965 4.1965 Å, 60.00 60.00 60.00°
Site moments in Bohr magnetons follow the coordinates.
Element x y z (fractional)
V1 0.0000 0.0000 0.0000  1.85
Li1 0.7500 0.7500 0.7500  0.03
Li2 0.2500 0.2500 0.2500  0.03
Re1 0.5000 0.5000 0.5000  -1.23

---

(15)
IrBr: relaxed, GGA-PBE.

Calculated values
DOS at the Fermi energy: 1.5 states/eV/f.u.
ρ: 9.44 g/cm3
E above lowest polymorph: 0.461 eV/atom
Uncorrected formation energy: 728 meV/atom
V: 23.946 Å³ per atom

Cell: 3.5999 3.6003 7.3904 Å, 90.00 90.00 90.00°
Element x y z (fractional)
Ir1 0.0000 0.0000 0.4098
Ir2 0.5000 0.5000 0.3402
Br1 0.0000 0.0000 0.0789
Br2 0.5000 0.5000 0.6711

---

(16)
Mg4Si3: relaxed, GGA-PBE.

Calculated values
DOS at the Fermi energy: 1.6 states/eV/f.u.
ρ: 2.15 g/cm3
E above lowest polymorph: 0.065 eV/atom
Uncorrected formation energy: 33 meV/atom
V: 19.988 Å³ per atom

Cell: 5.4069 6.7237 8.0712 Å, 95.85 99.95 101.96°
Element x y z (fractional)
Mg1 0.5822 0.1246 0.0691
Mg2 0.4769 0.5963 0.1099
Mg3 0.1023 0.6595 0.7765
Mg4 0.0618 0.2143 0.8578
Mg5 0.0279 0.8783 0.2505
Mg6 0.8844 0.3002 0.4628
Mg7 0.4326 0.5680 0.4955
Mg8 0.3962 0.0551 0.6207
Si1 0.9443 0.5054 0.0702
Si2 0.1836 0.2721 0.2124
Si3 0.8759 0.9147 0.5918
Si4 0.5815 0.4278 0.8160
Si5 0.6417 0.8110 0.8217
Si6 0.5591 0.9227 0.3451

---

(17)
Ba2InPtPb: relaxed, GGA-PBE.

Calculated values
DOS at the Fermi energy: 4.3 states/eV/f.u.
ρ: 6.79 g/cm3
ΔE_f: -505.9 meV/atom
V: 38.724 Å³ per atom

Cell: 6.0944 6.0944 5.2130 Å, 90.00 90.00 90.00°
Element x y z (fractional)
Ba1 0.0000 0.5000 0.0000
Ba2 0.5000 0.0000 0.0000
In1 0.0000 0.0000 0.5000
Pt1 0.0000 0.0000 0.0000
Pb1 0.5000 0.5000 0.5000

---

(18)
BAuS2: relaxed, GGA-PBE.

Calculated values
DOS at the Fermi energy: 0.0 states/eV/f.u.
ρ: 5.01 g/cm3
Uncorrected formation energy: 126 meV/atom
V: 22.528 Å³ per atom

Cell: 6.3407 6.3407 6.3407 Å, 38.83 38.83 38.83°
Element x y z (fractional)
S1 0.0959 0.0959 0.0959
S2 0.9041 0.9041 0.9041
B1 0.0000 0.0000 0.0000
Au1 0.5000 0.5000 0.5000

---

(19)
Nd5CuAu4: relaxed, GGA-PBE.

Calculated values
DOS at the Fermi energy: 7.6 states/eV/f.u.
ρ: 10.32 g/cm3
ΔE_f: -638.0 meV/atom
V: 25.294 Å³ per atom

Cell: 3.6811 3.6811 18.6664 Å, 90.00 90.00 90.00°
Element x y z (fractional)
Au1 0.0000 0.0000 0.8053
Au2 0.0000 0.0000 0.1947
Au3 0.0000 0.0000 0.6014
Au4 0.0000 0.0000 0.3986
Cu1 0.0000 0.0000 0.0000
Nd1 0.5000 0.5000 0.9044
Nd2 0.5000 0.5000 0.5000
Nd3 0.5000 0.5000 0.0956
Nd4 0.5000 0.5000 0.2974
Nd5 0.5000 0.5000 0.7026

---

(20)
Ho3Pt2: relaxed, GGA-PBE.

Calculated values
DOS at the Fermi energy: 3.0 states/eV/f.u.
ρ: 11.99 g/cm3
E above lowest polymorph: 0.011 eV/atom
ΔE_f: -1071.1 meV/atom
V: 24.506 Å³ per atom

Cell: 4.8393 7.7342 10.3414 Å, 90.81 90.00 108.23°
Element x y z (fractional)
Ho1 0.5000 0.0000 0.0000
Ho2 0.8333 0.6665 0.6667
Ho3 0.1674 0.3348 0.9993
Ho4 0.8326 0.6652 0.0007
Ho5 0.1659 0.3318 0.6674
Ho6 0.5007 0.0014 0.6660
Ho7 0.4993 0.9986 0.3340
Ho8 0.8341 0.6682 0.3326
Ho9 0.1667 0.3335 0.3333
Pt1 0.6715 0.3430 0.1620
Pt2 0.9952 0.9905 0.1713
Pt3 0.6618 0.3237 0.5047
Pt4 0.3382 0.6763 0.4953
Pt5 0.3285 0.6570 0.8380
Pt6 0.0048 0.0095 0.8287

---

(21)
CoPdCl4: relaxed, GGA-PBE.

Calculated values
DOS at the Fermi energy: 2.6 states/eV/f.u.
ρ: 3.50 g/cm3
E above lowest polymorph: 0.052 eV/atom
Uncorrected formation energy: -418 meV/atom
V: 24.283 Å³ per atom

Cell: 3.6227 6.3581 6.3494 Å, 94.97 90.00 90.00°
Site moments in Bohr magnetons follow the coordinates.
Element x y z (fractional)
Co1 0.5000 0.0000 0.5000  2.52
Cl1 0.5000 0.2125 0.2007  0.26
Cl2 0.0000 0.7915 0.3224  0.22
Cl3 0.5000 0.7875 0.7993  0.26
Cl4 0.0000 0.2085 0.6776  0.22
Pd1 0.0000 0.0000 0.0000  1.11

---

(22)
KTlPbF6: relaxed, GGA-PBE.

Calculated values
DOS at the Fermi energy: 0.0 states/eV/f.u.
ρ: 5.22 g/cm3
Uncorrected formation energy: -2270 meV/atom
V: 19.953 Å³ per atom

Cell: 5.5972 5.5972 11.4643 Å, 90.00 90.00 90.00°
Element x y z (fractional)
F1 0.2795 0.2795 0.3208
F2 0.7205 0.7205 0.3208
F3 0.8080 0.1920 0.1926
F4 0.1726 0.8274 0.4857
F5 0.1920 0.8080 0.1926
F6 0.7795 0.2205 0.8208
F7 0.3274 0.3274 0.9857
F8 0.6920 0.6920 0.6926
F9 0.8274 0.1726 0.4857
F10 0.6726 0.6726 0.9857
F11 0.2205 0.7795 0.8208
F12 0.3080 0.3080 0.6926
K1 0.0000 0.0000 0.9994
K2 0.5000 0.5000 0.4994
Tl1 0.0000 0.0000 0.3333
Tl2 0.5000 0.5000 0.8333
Pb1 0.0000 0.0000 0.6690
Pb2 0.5000 0.5000 0.1690

---

(23)
ScSBr3: relaxed, GGA-PBE.

Calculated values
DOS at the Fermi energy: 8.1 states/eV/f.u.
ρ: 3.67 g/cm3
E above lowest polymorph: 0.779 eV/atom
Uncorrected formation energy: 147 meV/atom
V: 28.675 Å³ per atom

Cell: 5.2339 5.2339 5.2339 Å, 90.00 90.00 90.00°
Site moments in Bohr magnetons follow the coordinates.
Element x y z (fractional)
Sc1 0.5000 0.5000 0.5000  1.04
Br1 0.5000 0.0000 0.0000  -0.01
Br2 0.0000 0.0000 0.5000  -0.01
Br3 0.0000 0.5000 0.0000  -0.02
S1 0.0000 0.0000 0.0000  0.01

---

(24)
MgH6Ir3: relaxed, GGA-PBE.

Calculated values
DOS at the Fermi energy: 1.3 states/eV/f.u.
ρ: 11.66 g/cm3
E above lowest polymorph: 0.047 eV/atom
V: 8.644 Å³ per atom

Cell: 7.2254 2.9048 4.5723 Å, 90.00 67.33 78.43°
Element x y z (fractional)
Ir1 0.2212 0.3081 0.6090
Ir2 0.1107 0.8638 0.1521
Ir3 0.8217 0.0084 0.8056
H1 0.5786 0.1297 0.0241
H2 0.8579 0.9898 0.1588
H3 0.3071 0.7652 0.3134
H4 0.4105 0.2132 0.7218
H5 0.7115 0.5633 0.7277
H6 0.9877 0.4252 0.3492
Mg1 0.5999 0.6187 0.3689